Entry from the Alexandria database: Ba2PuBr6 after structural relaxation (PBE).

Unit cell a=7.418 b=8.642 c=10.518 alpha=90.00 beta=88.03 gamma=90.00
Last column: magnetic moment on the atom in μB.
Sites, in units of the cell vectors:
Ba: 0.037 0.609 0.747  0.03
Ba: 0.463 0.109 0.753  0.03
Ba: 0.537 0.891 0.247  0.03
Ba: 0.963 0.391 0.253  0.03
Pu: 0.500 0.500 0.000  5.72
Pu: 0.000 0.000 0.500  5.72
Br: 0.132 0.042 0.234  -0.01
Br: 0.159 0.308 0.560  -0.01
Br: 0.167 0.331 0.937  -0.01
Br: 0.333 0.831 0.563  -0.01
Br: 0.341 0.808 0.940  -0.01
Br: 0.368 0.542 0.266  -0.01
Br: 0.868 0.958 0.766  -0.01
Br: 0.841 0.692 0.440  -0.01
Br: 0.833 0.669 0.063  -0.01
Br: 0.667 0.169 0.437  -0.01
Br: 0.659 0.192 0.060  -0.01
Br: 0.632 0.458 0.734  -0.01

Results
Formation energy (no corrections) ... -1.89 eV per atom